(1)
The following is a DFT calculation (GGA-PBE) of an optimized crystal structure of HAuN.

## Properties
crystal system: triclinic
energy above the lowest structure with this stoichiometry: 183 kJ/mol of formula units
energy: -11.284 eV/cell
symmetry: P-1 (2)

CIF file:
```
data_HAuN
_cell_length_a 3.616
_cell_length_b 3.762
_cell_length_c 4.214
_cell_angle_alpha 114.08
_cell_angle_beta 94.09
_cell_angle_gamma 90.09
_space_group_name_H-M_alt 'P 1'
_space_group_IT_number 1
_space_group_name_Hall 'P 1'
loop_
_atom_site_label
_atom_site_fract_x
_atom_site_fract_y
_atom_site_fract_z
H1 0.000 0.000 0.000
Au1 0.500 0.000 0.000
N1 0.500 0.500 0.000
```

(2)
The following is a DFT calculation (GGA-PBE) of an optimized crystal structure of Ca2Zn6Ni9.

## Properties
crystal system: hexagonal
energy: -65.510 eV/cell
formation energy: -0.11 eV per atom
symmetry: P6/mmm (191)

CIF file:
```
data_Ca2Zn6Ni9
_cell_length_a 5.076
_cell_length_b 5.076
_cell_length_c 11.892
_cell_angle_alpha 90.00
_cell_angle_beta 90.00
_cell_angle_gamma 120.00
_space_group_name_H-M_alt 'P 1'
_space_group_IT_number 1
_space_group_name_Hall 'P 1'
loop_
_atom_site_label
_atom_site_fract_x
_atom_site_fract_y
_atom_site_fract_z
Ca1 0.000 0.000 0.184
Ca2 0.000 0.000 0.816
Zn1 0.333 0.667 0.165
Zn2 0.333 0.667 0.500
Zn3 0.333 0.667 0.835
Zn4 0.667 0.333 0.165
Zn5 0.667 0.333 0.500
Zn6 0.667 0.333 0.835
Ni1 0.000 0.500 0.000
Ni2 0.000 0.500 0.331
Ni3 0.000 0.500 0.669
Ni4 0.500 0.000 0.000
Ni5 0.500 0.000 0.331
Ni6 0.500 0.000 0.669
Ni7 0.500 0.500 0.000
Ni8 0.500 0.500 0.331
Ni9 0.500 0.500 0.669
```

Volume values, unit Å³ per cell, following the record order: 52.2 265.4.
N(E_F) values, unit states/eV/atom, following the record order: 0.38 0.73.